# Sr5PrMg6 | Alexandria via LeMat-Bulk | PBE | relaxed
# Total energy (eV per cell): -46.9
# Magnetization (μB per formula unit): 0.000
# ΔH_f (0 K) (kJ/mol of formula units): -65
data_Sr5PrMg6
_chemical_formula_sum 'Sr10 Pr2 Mg12'
_cell_length_a 18.583
_cell_length_b 8.155
_cell_length_c 5.901
_cell_angle_alpha 90.00
_cell_angle_beta 108.38
_cell_angle_gamma 90.00
_symmetry_space_group_name_H-M 'C 1 2/m 1'
_symmetry_Int_Tables_number 12
loop_
_symmetry_equiv_pos_as_xyz
'x,y,z'
'-x,-y,-z'
'-x,y,-z'
'x,-y,z'
'x+1/2,y+1/2,z'
'-x+1/2,-y+1/2,-z'
'-x+1/2,y+1/2,-z'
'x+1/2,-y+1/2,z'
loop_
_atom_site_label
_atom_site_type_symbol
_atom_site_fract_x
_atom_site_fract_y
_atom_site_fract_z
_atom_site_occupancy
Sr1 Sr 0.000 0.000 0.000 1
Sr2 Sr 0.163 0.000 0.664 1
Sr3 Sr 0.172 0.500 0.673 1
Pr1 Pr 0.000 0.500 0.000 1
Mg1 Mg 0.000 0.276 0.500 1
Mg2 Mg 0.161 0.266 0.162 1